No. 1
Crystalline Dy4Sb2Se at its relaxed geometry. Source: Alexandria via LeMat-Bulk, functional PBE.

The structure in POSCAR format:
```
Dy4Sb2Se
1.0
7.5654 0.0000 -0.4940
0.0000 6.5235 0.0000
-3.4474 0.0000 8.4520
Dy Sb Se
8 4 2
Direct
0.4805 0.4976 0.2739 Dy
0.1847 0.7500 0.8606 Dy
0.8153 0.2500 0.1394 Dy
0.4805 0.0024 0.2739 Dy
0.9427 0.2500 0.5923 Dy
0.5195 0.9976 0.7261 Dy
0.5195 0.5024 0.7261 Dy
0.0573 0.7500 0.4077 Dy
0.6548 0.7500 0.0669 Sb
0.3452 0.2500 0.9331 Sb
0.2289 0.2500 0.4257 Sb
0.7711 0.7500 0.5743 Sb
0.1438 0.7500 0.1405 Se
0.8562 0.2500 0.8595 Se
```

Values from the calculation:
raw formation energy	-0.97	eV/atom
space-group type	P2_1/m

No. 2
Crystalline DySbSe at its relaxed geometry. Source: Alexandria via LeMat-Bulk, functional PBE.

The structure in POSCAR format:
```
DySbSe
1.0
-1.7309 0.7192 4.9968
-4.5354 -0.4588 1.3449
0.9011 -7.9667 4.3087
Dy Sb Se
2 2 2
Direct
0.9335 0.8222 0.3107 Dy
0.0665 0.1778 0.6893 Dy
0.7935 0.3668 0.0461 Sb
0.2065 0.6332 0.9539 Sb
0.2707 0.1031 0.3556 Se
0.7293 0.8969 0.6444 Se
```

Values from the calculation:
raw formation energy	-1.14	eV/atom
space-group type	C2/m

no.,DFT total energy (eV per atom)
1,-5.28
2,-5.21